Entry 1:
CaAcCeTl | PBE | relaxed

Properties
Calculated density (g/cm3): 7.53
Density of states at the Fermi level (states/eV per cell): 9.84
Formation energy from the elements (eV/f.u.): 0.4
V (A^3/atom): 33.7

Cell: 5.7556 5.7556 5.7556 Å, 60.00 60.00 60.00°
With the nearest neighbours (Å) after each atom.
Fractional coordinates of all 4 atoms:
Ca (0.0000, 0.0000, 0.0000)  4 Ac 3.52, 4 Tl 3.52
Ac (0.2500, 0.2500, 0.2500)  4 Ce 3.52, 4 Ca 3.52
Ce (0.5000, 0.5000, 0.5000)  4 Tl 3.52, 4 Ac 3.52
Tl (0.7500, 0.7500, 0.7500)  4 Ca 3.52, 4 Ce 3.52

Entry 2:
La2SnCl | PBE | relaxed

Properties
Calculated density (g/cm3): 5.80
Density of states at the Fermi level (states/eV per cell): 2.26
Energy relative to the elements, uncorrected (meV/atom): -1212
Energy relative to the lowest polymorph listed for this composition (eV/atom): 0.000
V (A^3/atom): 30.9

Cell: 7.2468 7.2468 7.2468 Å, 37.03 37.03 37.03°
With the nearest neighbours (Å) after each atom.
Fractional coordinates of all 4 atoms:
La (0.2465, 0.2465, 0.2465)  3 Cl 3.11, 3 Sn 3.19
La (0.7535, 0.7535, 0.7535)  3 Cl 3.11, 3 Sn 3.19
Sn (0.0000, 0.0000, 0.0000)  6 La 3.19
Cl (0.5000, 0.5000, 0.5000)  6 La 3.11

Entry 3:
Tb6Dy3Ho2Tm | PBE | relaxed

Properties
Calculated density (g/cm3): 8.60
Density of states at the Fermi level (states/eV per cell): 15.38
Formation energy from the elements (eV/f.u.): 0.2
V (A^3/atom): 31.2

Cell: 6.1236 6.1236 11.7109 Å, 94.98 94.98 119.96°
With the nearest neighbours (Å) after each atom.
Fractional coordinates of all 12 atoms:
Tb (0.0837, 0.4168, 0.7510)  2 Ho 3.52-3.53, 1 Tm 3.52, 6 Tb 3.53-3.54, 3 Dy 3.54
Tb (0.2501, 0.2501, 0.2492)  1 Tm 3.52, 2 Ho 3.53, 6 Tb 3.53-3.54, 3 Dy 3.54
Tb (0.4168, 0.0837, 0.7510)  2 Ho 3.52-3.53, 1 Tm 3.52, 6 Tb 3.53-3.54, 3 Dy 3.54
Tb (0.5832, 0.9163, 0.2490)  2 Ho 3.52-3.53, 1 Tm 3.52, 6 Tb 3.53-3.54, 3 Dy 3.54
Tb (0.7499, 0.7499, 0.7508)  1 Tm 3.52, 2 Ho 3.53, 6 Tb 3.53-3.54, 3 Dy 3.54
Tb (0.9163, 0.5832, 0.2490)  2 Ho 3.52-3.53, 1 Tm 3.52, 6 Tb 3.53-3.54, 3 Dy 3.54
Dy (0.0000, 0.0000, 0.5000)  6 Dy 3.54, 6 Tb 3.54
Dy (0.3334, 0.6666, 0.5000)  6 Dy 3.53-3.54, 6 Tb 3.54
Dy (0.6666, 0.3334, 0.5000)  6 Dy 3.53-3.54, 6 Tb 3.54
Ho (0.1666, 0.8334, 0.0000)  6 Tb 3.52-3.53, 3 Ho 3.53-3.54, 3 Tm 3.54
Ho (0.8334, 0.1666, 0.0000)  6 Tb 3.52-3.53, 3 Ho 3.53-3.54, 3 Tm 3.54
Tm (0.5000, 0.5000, 0.0000)  6 Tb 3.52, 6 Ho 3.54

Entry 4:
PmErGaSi | PBE | relaxed

Properties
Calculated density (g/cm3): 7.42
Density of states at the Fermi level (states/eV per cell): 2.31
Energy relative to the elements, uncorrected (meV/atom): -481
Energy relative to the lowest polymorph listed for this composition (eV/atom): 0.243
V (A^3/atom): 22.9

Cell: 5.0624 5.0624 5.0624 Å, 60.00 60.00 60.00°
With the nearest neighbours (Å) after each atom.
Fractional coordinates of all 4 atoms:
Pm (0.0000, 0.0000, 0.0000)  4 Si 3.10, 4 Ga 3.10
Er (0.5000, 0.5000, 0.5000)  4 Si 3.10, 4 Ga 3.10
Ga (0.7500, 0.7500, 0.7500)  4 Er 3.10, 4 Pm 3.10
Si (0.2500, 0.2500, 0.2500)  4 Er 3.10, 4 Pm 3.10

Entry 5:
Tb2ErSb | PBE | relaxed

Properties
Calculated density (g/cm3): 8.80
Density of states at the Fermi level (states/eV per cell): 4.03
Energy relative to the elements, uncorrected (meV/atom): -491
Energy relative to the lowest polymorph listed for this composition (eV/atom): 0.043
V (A^3/atom): 28.6

Cell: 4.1414 4.1414 6.6785 Å, 90.00 90.00 90.00°
With the nearest neighbours (Å) after each atom.
Fractional coordinates of all 4 atoms:
Tb (0.0000, 0.0000, 0.2346)  1 Tb 3.13, 4 Sb 3.32, 4 Er 3.42
Tb (0.0000, 0.0000, 0.7654)  1 Tb 3.13, 4 Sb 3.32, 4 Er 3.42
Er (0.5000, 0.5000, 0.5000)  2 Sb 3.34, 8 Tb 3.42
Sb (0.5000, 0.5000, 0.0000)  8 Tb 3.32, 2 Er 3.34

Entry 6:
BaMgSe2O6 | PBE | relaxed

Properties
Calculated density (g/cm3): 4.31
Density of states at the Fermi level (states/eV per cell): 0.00
Energy relative to the elements, uncorrected (meV/atom): -1590
V (A^3/atom): 16.0

Cell: 6.8033 6.8033 6.8033 Å, 48.15 48.15 48.15°
With the nearest neighbours (Å) after each atom.
Fractional coordinates of all 10 atoms:
Ba (0.0000, 0.0000, 0.0000)  6 O 2.83
Mg (0.5000, 0.5000, 0.5000)  6 O 2.16
Se (0.2690, 0.2690, 0.2690)  3 O 1.73
Se (0.7310, 0.7310, 0.7310)  3 O 1.73
O (0.0799, 0.5054, 0.7114)  1 Se 1.73
O (0.2886, 0.9201, 0.4946)  1 Se 1.73
O (0.4946, 0.2886, 0.9201)  1 Se 1.73
O (0.5054, 0.7114, 0.0799)  1 Se 1.73
O (0.7114, 0.0799, 0.5054)  1 Se 1.73
O (0.9201, 0.4946, 0.2886)  1 Se 1.73